VASP calculation (GGA-PBE) on crystalline Fe2SnPd at its relaxed geometry.

Lattice parameters (Å, degrees): 4.3288 3.0268 18.6449 90.00 90.00 90.00
Atoms (fractional coordinates):
Fe (0.0000, 0.0000, 0.0000)
Fe (0.0000, 0.0000, 0.4004)
Fe (0.0000, 0.5000, 0.5000)
Fe (0.0000, 0.5000, 0.9004)
Fe (0.5000, 0.0000, 0.0709)
Fe (0.5000, 0.0000, 0.4737)
Fe (0.5000, 0.5000, 0.5709)
Fe (0.5000, 0.5000, 0.9737)
Sn (0.0000, 0.0000, 0.6270)
Sn (0.0000, 0.5000, 0.1270)
Sn (0.5000, 0.0000, 0.8519)
Sn (0.5000, 0.5000, 0.3519)
Pd (0.0000, 0.0000, 0.7704)
Pd (0.0000, 0.5000, 0.2704)
Pd (0.5000, 0.0000, 0.2108)
Pd (0.5000, 0.5000, 0.7108)

Values from the calculation:
* energy of formation: -8 meV/atom
* DOS(E_F): 9.70 states/eV per cell
* space-group type: Amm2
* total moment: 1.222 μB per atom
* crystal system: orthorhombic